First-principles (GGA+U) data for a relaxed BaFeI2O crystal, as listed in Alexandria.

Fermi-level density of states in states/eV per cell: 5.573
Offset from the most stable computed form in kJ/mol of atoms: 81.7
Size of the total moment in Bohr magnetons per cell: 4.66

abc: 6.7826 6.7826 4.5377
angles: 90.00 90.00 90.00
Space group P4/mmm (No. 123)
Asymmetric unit:
Ba  0.0000  0.0000  0.0000 x1
Fe  0.5000  0.5000  0.5000 x1
I  0.0000  0.5000  0.0000 x2
O  0.0000  0.0000  0.5000 x1